Entry one
Er2NiSe | PBE | optimized geometry

Unit cell a=3.4590 b=3.4590 c=6.9605 alpha=90.00 beta=90.00 gamma=90.00
Space group P4/mmm (No. 123)
Unique sites:
Er1 0.0000 0.0000 0.2310 (multiplicity 2)
Ni1 0.5000 0.5000 0.0000 (multiplicity 1)
Se1 0.5000 0.5000 0.5000 (multiplicity 1)



Entry two
Er2NiSe | PBE | optimized geometry

Unit cell a=3.9053 b=3.9053 c=20.7441 alpha=90.00 beta=90.00 gamma=120.00
Space group R3m (No. 160, hexagonal axes)
Unique sites:
Er1 0.0000 0.0000 0.0000 (multiplicity 3)
Er2 0.0000 0.0000 0.1886 (multiplicity 3)
Ni1 0.0000 0.0000 0.5950 (multiplicity 3)
Se1 0.0000 0.0000 0.7613 (multiplicity 3)



Entry three
Er2NiSe | PBE | optimized geometry

Unit cell a=3.8561 b=21.8859 c=4.1076 alpha=90.00 beta=90.00 gamma=90.00
Space group Cmcm (No. 63)
Unique sites:
Er1 0.0000 0.0615 0.2500 (multiplicity 4)
Er2 0.0000 0.3278 0.2500 (multiplicity 4)
Ni1 0.0000 0.4642 0.2500 (multiplicity 4)
Se1 0.0000 0.1941 0.2500 (multiplicity 4)



Entry four
Er2NiSe | PBE | optimized geometry

Unit cell a=3.8641 b=3.8641 c=20.9114 alpha=90.00 beta=90.00 gamma=120.00
Space group R-3m (No. 166, hexagonal axes)
Unique sites:
Er1 0.0000 0.0000 0.2418 (multiplicity 6)
Ni1 0.0000 0.0000 0.5000 (multiplicity 3)
Se1 0.0000 0.0000 0.0000 (multiplicity 3)



Which structure is the most stable? The one labeled entry three.



Entry one
Er2Si3Ni2 | PBE | optimized geometry

Unit cell a=9.9060 b=3.9747 c=6.3155 alpha=90.00 beta=116.05 gamma=90.00
Space group C2/m (No. 12)
Unique sites:
Er1 0.1493 0.0000 0.2802 (multiplicity 4)
Si1 0.0000 0.5000 0.5000 (multiplicity 2)
Si2 0.1122 0.5000 0.9393 (multiplicity 4)
Ni1 0.1380 0.0000 0.7454 (multiplicity 4)



Entry two
Er2Si3Ni2 | PBE | optimized geometry

Unit cell a=4.0458 b=17.1704 c=6.5639 alpha=90.00 beta=90.00 gamma=90.00
Space group Cmcm (No. 63)
Unique sites:
Er1 0.0000 0.0525 0.2500 (multiplicity 4)
Er2 0.0000 0.1582 0.7500 (multiplicity 4)
Si1 0.0000 0.2232 0.2500 (multiplicity 4)
Si2 0.0000 0.4359 0.0665 (multiplicity 8)
Ni1 0.0000 0.3054 0.5536 (multiplicity 8)



Which structure is the most stable? The one labeled entry two.



Entry one
Er2SiNi6 | PBE | optimized geometry

Unit cell a=8.9301 b=5.2170 c=5.6512 alpha=90.00 beta=104.14 gamma=90.00
Space group C2/m (No. 12)
Unique sites:
Er1 0.1428 0.0000 0.3416 (multiplicity 4)
Si1 0.0000 0.5000 0.5000 (multiplicity 2)
Ni1 0.1184 0.5000 0.1818 (multiplicity 4)
Ni2 0.1360 0.2423 0.8255 (multiplicity 8)



Entry two
Er2SiNi6 | PBE | optimized geometry

Unit cell a=8.0412 b=8.0412 c=8.0412 alpha=90.00 beta=90.00 gamma=90.00
Space group Fm-3m (No. 225)
Unique sites:
Er1 0.2500 0.2500 0.2500 (multiplicity 8)
Si1 0.0000 0.0000 0.0000 (multiplicity 4)
Ni1 0.0000 0.0000 0.2796 (multiplicity 24)



Which structure is the most stable? The one labeled entry one.